# CaPOsS2

A geometry-optimized CaPOsS2 structure (GGA-PBE, Alexandria).

Summary:
* ΔE to the lowest computed polymorph: 1815 meV per atom
* formation energy (no corrections): 1606 meV per atom

Cell lengths 5.0249, 5.0249, 5.2343 Å; angles 90.00, 90.00, 90.00 degrees
With the nearest neighbours (Å) after each atom.
Space group P4/mmm (No. 123)
Unique sites:
Ca 0.0000 0.0000 0.0000  4 S 2.51, 2 P 2.62
P 0.0000 0.0000 0.5000  2 Ca 2.62
Os 0.5000 0.5000 0.5000  4 P 3.55, 8 S 3.63
S 0.0000 0.5000 0.0000  2 Ca 2.51


# CaP2OsS

A geometry-optimized CaP2OsS structure (GGA-PBE, Alexandria).

Summary:
* ΔE to the lowest computed polymorph: 0 meV per atom
* formation energy (no corrections): -171 meV per atom

Cell lengths 4.4631, 4.4631, 5.4893 Å; angles 90.00, 90.00, 90.00 degrees
With the nearest neighbours (Å) after each atom.
Space group P4/mmm (No. 123)
Unique sites:
Ca 0.0000 0.0000 0.0000  4 S 3.16
P 0.0000 0.5000 0.5000  2 Os 2.23
Os 0.5000 0.5000 0.5000  4 P 2.23
S 0.5000 0.5000 0.0000  2 Os 2.74


# CaPOsS2

A geometry-optimized CaPOsS2 structure (GGA-PBE, Alexandria).

Summary:
* ΔE to the lowest computed polymorph: 0 meV per atom
* formation energy (no corrections): -209 meV per atom

Cell lengths 4.9308, 4.9308, 4.4019 Å; angles 90.00, 90.00, 90.00 degrees
With the nearest neighbours (Å) after each atom.
Space group P4/mmm (No. 123)
Unique sites:
Ca 0.0000 0.0000 0.0000  8 S 3.30, 4 P 3.49
P 0.5000 0.5000 0.0000  2 Os 2.20
Os 0.5000 0.5000 0.5000  2 P 2.20
S 0.0000 0.5000 0.5000  2 Os 2.47


# CaP2OsS

A geometry-optimized CaP2OsS structure (GGA-PBE, Alexandria).

Summary:
* ΔE to the lowest computed polymorph: 2049 meV per atom
* formation energy (no corrections): 1878 meV per atom

Cell lengths 5.1288, 5.1288, 4.9097 Å; angles 90.00, 90.00, 90.00 degrees
With the nearest neighbours (Å) after each atom.
Space group P4/mmm (No. 123)
Unique sites:
Ca 0.0000 0.0000 0.0000  2 S 2.45, 4 P 2.56
P 0.0000 0.5000 0.0000  2 Ca 2.56
Os 0.5000 0.5000 0.5000  8 P 3.55, 4 S 3.63
S 0.0000 0.0000 0.5000  2 Ca 2.45


# CaScPOs2

A geometry-optimized CaScPOs2 structure (GGA-PBE, Alexandria).

Summary:
* energy relative to the elements: 1.21 eV per formula unit

Cell lengths 4.4374, 4.4374, 4.9466 Å; angles 90.00, 90.00, 90.00 degrees
With the nearest neighbours (Å) after each atom.
Space group P4/mmm (No. 123)
Unique sites:
Ca 0.0000 0.0000 0.0000  2 P 2.47
Sc 0.5000 0.5000 0.0000  4 Ca 3.14, 8 Os 3.32
P 0.0000 0.0000 0.5000  4 Os 2.22, 2 Ca 2.47
Os 0.0000 0.5000 0.5000  2 P 2.22


# CaTaP2Os

A geometry-optimized CaTaP2Os structure (GGA-PBE, Alexandria).

Summary:
* energy relative to the elements: -2.99 eV per formula unit

Cell lengths 3.9466, 3.9466, 12.0184 Å; angles 90.00, 90.00, 90.00 degrees
With the nearest neighbours (Å) after each atom.
Space group I-4m2 (No. 119)
Unique sites:
Ca 0.0000 0.0000 0.0000  8 P 3.17
Ta 0.0000 0.5000 0.7500  4 P 2.47
P 0.0000 0.0000 0.3742  2 Ta 2.47, 2 Os 2.47
Os 0.0000 0.5000 0.2500  4 P 2.47


# Ca2YPOs

A geometry-optimized Ca2YPOs structure (GGA-PBE, Alexandria).

Summary:
* energy relative to the elements: 7.63 eV per formula unit

Cell lengths 6.0795, 6.0795, 4.9715 Å; angles 90.00, 90.00, 90.00 degrees
With the nearest neighbours (Å) after each atom.
Space group P4/mmm (No. 123)
Unique sites:
Ca 0.0000 0.5000 0.0000  2 Y 3.04
Y 0.0000 0.0000 0.0000  2 P 2.49
P 0.0000 0.0000 0.5000  2 Y 2.49
Os 0.5000 0.5000 0.5000  8 Ca 3.93, 4 P 4.30


# CaOs2Pb

A geometry-optimized CaOs2Pb structure (GGA-PBE, Alexandria).

Summary:
* energy relative to the elements: 5.06 eV per formula unit

Cell lengths 7.9013, 7.9013, 5.5030 Å; angles 90.00, 90.00, 90.00 degrees
With the nearest neighbours (Å) after each atom.
Space group I-42d (No. 122)
Unique sites:
Ca 0.0000 0.0000 0.0000  2 Pb 2.75, 4 Os 3.01
Os 0.2268 0.7500 0.6250  2 Pb 2.75, 2 Os 2.78, 2 Ca 3.01
Pb 0.0000 0.0000 0.5000  2 Ca 2.75, 4 Os 2.75


# CaOsPb2

A geometry-optimized CaOsPb2 structure (GGA-PBE, Alexandria).

Summary:
* energy relative to the elements: 1.20 eV per formula unit

Cell lengths 3.4235, 3.4235, 8.0606 Å; angles 90.00, 90.00, 90.00 degrees
With the nearest neighbours (Å) after each atom.
Space group P4/mmm (No. 123)
Unique sites:
Ca 0.0000 0.0000 0.0000  8 Pb 3.38, 4 Ca 3.42
Os 0.0000 0.0000 0.5000  8 Pb 2.94
Pb 0.5000 0.5000 0.2933  4 Os 2.94


# CaOs2Pb

A geometry-optimized CaOs2Pb structure (GGA-PBE, Alexandria).

Summary:
* energy relative to the elements: 3.25 eV per formula unit

Cell lengths 4.2299, 4.2299, 4.1967 Å; angles 90.00, 90.00, 90.00 degrees
With the nearest neighbours (Å) after each atom.
Space group P4/mmm (No. 123)
Unique sites:
Ca 0.0000 0.0000 0.0000  8 Os 2.98, 4 Pb 2.99
Os 0.0000 0.5000 0.5000  4 Pb 2.98, 4 Ca 2.98, 4 Os 2.99
Pb 0.5000 0.5000 0.0000  8 Os 2.98, 4 Ca 2.99


# CaOs2Pb

A geometry-optimized CaOs2Pb structure (GGA-PBE, Alexandria).

Summary:
* energy relative to the elements: 3.51 eV per formula unit

Cell lengths 4.1949, 4.1949, 8.6701 Å; angles 90.00, 90.00, 90.00 degrees
With the nearest neighbours (Å) after each atom.
Space group I4/mmm (No. 139)
Unique sites:
Ca 0.0000 0.0000 0.0000  4 Pb 2.97, 8 Os 3.02
Os 0.0000 0.5000 0.2500  4 Os 2.97, 4 Pb 3.02, 4 Ca 3.02
Pb 0.0000 0.0000 0.5000  4 Ca 2.97, 8 Os 3.02


# CaOsPb2

A geometry-optimized CaOsPb2 structure (GGA-PBE, Alexandria).

Summary:
* energy relative to the elements: 2.59 eV per formula unit

Cell lengths 4.9637, 4.9637, 18.7140 Å; angles 90.00, 90.00, 90.00 degrees
With the nearest neighbours (Å) after each atom.
Space group I-42d (No. 122)
Unique sites:
Ca 0.0000 0.0000 0.0000  4 Pb 3.11
Os 0.0000 0.0000 0.5000  4 Pb 2.78
Pb 0.1716 0.2500 0.6250  2 Os 2.78, 2 Pb 3.01, 2 Ca 3.11


# CaOs2Pb

A geometry-optimized CaOs2Pb structure (GGA-PBE, Alexandria).

Summary:
* energy relative to the elements: 3.64 eV per formula unit

Cell lengths 3.4418, 4.5993, 4.7946 Å; angles 90.00, 90.00, 90.00 degrees
With the nearest neighbours (Å) after each atom.
Space group Pmmm (No. 47)
Unique sites:
Ca 0.0000 0.0000 0.0000  4 Os 2.87, 4 Pb 2.95
Os 0.0000 0.5000 0.5000  4 Pb 2.87, 4 Os 2.95
Os 0.5000 0.5000 0.0000  4 Ca 2.87, 4 Os 2.95
Pb 0.5000 0.0000 0.5000  4 Os 2.87, 4 Ca 2.95


# CaOsPb2

A geometry-optimized CaOsPb2 structure (GGA-PBE, Alexandria).

Summary:
* energy relative to the elements: 1.51 eV per formula unit

Cell lengths 3.5474, 4.6876, 5.9733 Å; angles 90.00, 100.13, 90.00 degrees
With the nearest neighbours (Å) after each atom.
Space group P2/m (No. 10)
Unique sites:
Ca 0.0000 0.0000 0.0000  2 Os 3.19, 8 Pb 3.22-3.48, 2 Ca 3.55
Os 0.5000 0.0000 0.5000  4 Pb 2.81
Pb 0.3486 0.5000 0.7288  2 Os 2.81, 1 Pb 3.11


# CaOs2Pb

A geometry-optimized CaOs2Pb structure (GGA-PBE, Alexandria).

Summary:
* energy relative to the elements: 4.21 eV per formula unit

Cell lengths 3.0324, 3.0324, 29.1171 Å; angles 90.00, 90.00, 120.00 degrees
With the nearest neighbours (Å) after each atom.
Space group R-3m (No. 166, hexagonal axes)
Unique sites:
Ca 0.0000 0.0000 0.0000  6 Os 2.99, 6 Ca 3.03
Os 0.0000 0.0000 0.2500  3 Ca 2.99, 3 Pb 2.99, 6 Os 3.03
Pb 0.0000 0.0000 0.5000  6 Os 2.99, 6 Pb 3.03


# CaOsPb2

A geometry-optimized CaOsPb2 structure (GGA-PBE, Alexandria).

Summary:
* energy relative to the elements: 1.06 eV per formula unit

Cell lengths 4.6461, 4.6461, 15.7591 Å; angles 90.00, 90.00, 120.00 degrees
With the nearest neighbours (Å) after each atom.
Space group R-3m (No. 166, hexagonal axes)
Unique sites:
Ca 0.0000 0.0000 0.0000  6 Pb 3.15
Os 0.0000 0.0000 0.5000  6 Pb 2.85
Pb 0.0000 0.0000 0.2282  3 Os 2.85, 3 Ca 3.15


# CaOs2Pb

A geometry-optimized CaOs2Pb structure (GGA-PBE, Alexandria).

Summary:
* energy relative to the elements: 3.74 eV per formula unit

Cell lengths 5.9330, 8.0663, 3.1840 Å; angles 90.00, 90.00, 90.00 degrees
With the nearest neighbours (Å) after each atom.
Space group Cmmm (No. 65)
Unique sites:
Ca 0.0000 0.0000 0.0000  2 Pb 2.97, 8 Os 2.97, 2 Ca 3.18
Os 0.2500 0.2500 0.5000  4 Os 2.97-3.18, 4 Pb 2.97, 4 Ca 2.97
Pb 0.0000 0.5000 0.0000  2 Ca 2.97, 8 Os 2.97, 2 Pb 3.18


# CaOsPb2

A geometry-optimized CaOsPb2 structure (GGA-PBE, Alexandria).

Summary:
* energy relative to the elements: 1.97 eV per formula unit

Cell lengths 4.4693, 4.4693, 9.3907 Å; angles 90.00, 90.00, 90.00 degrees
With the nearest neighbours (Å) after each atom.
Space group I-4m2 (No. 119)
Unique sites:
Ca 0.0000 0.0000 0.0000  8 Pb 3.16-3.24, 4 Os 3.24
Os 0.0000 0.5000 0.7500  8 Pb 3.16-3.24, 4 Ca 3.24
Pb 0.0000 0.0000 0.5000  4 Ca 3.16, 4 Pb 3.24, 4 Os 3.24
Pb 0.0000 0.5000 0.2500  4 Os 3.16, 4 Pb 3.24, 4 Ca 3.24


# CaOsPb2

A geometry-optimized CaOsPb2 structure (GGA-PBE, Alexandria).

Summary:
* energy relative to the elements: 1.37 eV per formula unit

Cell lengths 3.3346, 4.5168, 13.8789 Å; angles 90.00, 90.00, 90.00 degrees
With the nearest neighbours (Å) after each atom.
Space group Imm2 (No. 44)
Unique sites:
Ca 0.0000 0.0000 0.0000  2 Os 3.08, 2 Ca 3.33, 6 Pb 3.36-3.41
Os 0.0000 0.5000 0.3130  6 Pb 2.81-2.94, 2 Ca 3.08
Pb 0.0000 0.0000 0.6389  2 Os 2.94
Pb 0.0000 0.5000 0.8212  4 Os 2.81


# CaOs2Pb

A geometry-optimized CaOs2Pb structure (GGA-PBE, Alexandria).

Summary:
* energy relative to the elements: 2.71 eV per formula unit

Cell lengths 3.0998, 4.6801, 5.7953 Å; angles 90.00, 95.46, 90.00 degrees
With the nearest neighbours (Å) after each atom.
Space group P2/m (No. 10)
Unique sites:
Ca 0.0000 0.0000 0.0000  8 Os 3.01-3.06, 2 Ca 3.10, 2 Pb 3.15
Os 0.4481 0.5000 0.7988  1 Os 2.32
Pb 0.5000 0.0000 0.5000  4 Os 2.92, 2 Pb 3.10, 2 Ca 3.15


no.,calculated total energy (eV per formula unit),mass density (g cm⁻³)
1,-18.87,4.1
2,-29.03,4.9
3,-27.94,5.0
4,-18.79,4.2
5,-35.00,8.5
6,-38.90,8.4
7,-19.48,3.5
8,-23.11,12.1
9,-19.45,11.3
10,-24.92,13.9
11,-24.66,13.7
12,-18.06,9.3
13,-24.53,13.7
14,-19.14,10.9
15,-23.96,13.5
16,-19.59,10.9
17,-24.43,13.7
18,-18.67,11.4
19,-19.28,10.2
20,-25.46,12.5